Entry 1:
K2SbPb (PBE, relaxed); ΔE to the lowest computed polymorph = 96 meV per atom; uncorrected formation energy = -0.21 eV per atom
1.0
-4.211 3.668 -0.897
-1.030 -1.927 -3.049
-4.061 -3.759 3.693
Pb Sb K
1 1 2
direct
0.000 0.626 0.504 Pb
0.500 0.624 0.751 Sb
0.000 0.120 0.958 K
0.500 0.130 0.288 K

Entry 2:
KSb2Pb4 (PBE, relaxed); ΔE to the lowest computed polymorph = 0 meV per atom; uncorrected formation energy = -0.12 eV per atom
1.0
5.076 0.000 0.000
0.000 4.960 0.000
0.000 -2.480 9.681
Pb Sb K
4 2 1
direct
0.500 0.821 0.641 Pb
0.500 0.179 0.359 Pb
0.000 0.687 0.373 Pb
0.000 0.313 0.627 Pb
0.500 0.577 0.155 Sb
0.500 0.423 0.845 Sb
0.000 0.000 0.000 K

Entry 3:
K3Sb2Pb2 (PBE, relaxed); uncorrected formation energy = -0.29 eV per atom
1.0
-2.915 4.278 -5.882
-5.130 -7.054 -2.587
-11.543 4.970 9.337
Sb K Pb
8 12 8
direct
0.213 0.665 0.750 Sb
0.311 0.250 0.000 Sb
0.689 0.750 0.500 Sb
0.689 0.750 0.000 Sb
0.213 0.835 0.250 Sb
0.311 0.250 0.500 Sb
0.787 0.335 0.250 Sb
0.787 0.165 0.750 Sb
0.076 0.547 0.118 K
0.632 0.798 0.750 K
0.368 0.298 0.750 K
0.632 0.702 0.250 K
0.076 0.953 0.618 K
0.076 0.547 0.382 K
0.924 0.453 0.882 K
0.368 0.202 0.250 K
0.924 0.047 0.118 K
0.924 0.453 0.618 K
0.924 0.047 0.382 K
0.076 0.953 0.882 K
0.356 0.605 0.567 Pb
0.356 0.605 0.933 Pb
0.644 0.105 0.567 Pb
0.644 0.395 0.067 Pb
0.644 0.395 0.433 Pb
0.356 0.895 0.067 Pb
0.356 0.895 0.433 Pb
0.644 0.105 0.933 Pb

Entry 4:
K2SbPb (PBE, relaxed); ΔE to the lowest computed polymorph = 59 meV per atom; uncorrected formation energy = -0.24 eV per atom
1.0
6.962 0.478 -1.131
5.838 3.823 -1.131
-0.564 -0.190 6.380
K Pb Sb
2 1 1
direct
0.735 0.735 0.667 K
0.016 0.016 0.086 K
0.461 0.461 0.561 Pb
0.288 0.288 0.187 Sb

Entry 5:
K2SbPb (PBE, relaxed); ΔE to the lowest computed polymorph = 119 meV per atom; uncorrected formation energy = -0.18 eV per atom
1.0
-0.338 6.506 -0.557
-6.075 2.393 -0.343
3.122 -4.155 3.968
K Pb Sb
2 1 1
direct
0.000 0.000 0.000 K
0.500 0.500 0.000 K
0.750 0.250 0.500 Pb
0.250 0.750 0.500 Sb

Entry 6:
KSb2Pb2 (PBE, relaxed); ΔE to the lowest computed polymorph = 62 meV per atom; uncorrected formation energy = -0.10 eV per atom
1.0
-2.039 6.308 6.346
-7.770 1.980 -4.464
-1.921 -2.756 2.122
Pb K Sb
4 2 4
direct
0.130 0.370 0.000 Pb
0.870 0.630 0.000 Pb
0.370 0.870 0.000 Pb
0.630 0.130 0.000 Pb
0.000 0.000 0.000 K
0.500 0.500 0.000 K
0.155 0.655 0.500 Sb
0.845 0.345 0.500 Sb
0.655 0.845 0.500 Sb
0.345 0.155 0.500 Sb